Record 1
Compound: Th2ZnSi4Rh3
Source: Alexandria via LeMat-Bulk
Functional: PBE
Structure: optimized geometry

## Properties
**DOS(E_F)**: 0.372 states/eV per atom
**M_tot**: 0.0 μB/cell
**Formation energy (no corrections)**: -930 meV per atom
**Calculated total energy**: -6.916 eV per atom

a = 4.192 Å, b = 4.192 Å, c = 10.021 Å
α = 90.00°, β = 90.00°, γ = 90.00°
Space group P-4m2 (No. 115)
Asymmetric unit:
Th 0.000 0.500 0.246 [2 per cell]
Zn 0.000 0.000 0.500 [1 per cell]
Si 0.000 0.000 0.000 [1 per cell]
Si 0.000 0.500 0.638 [2 per cell]
Si 0.500 0.500 0.000 [1 per cell]
Rh 0.000 0.500 0.879 [2 per cell]
Rh 0.500 0.500 0.500 [1 per cell]

=====

Record 2
Compound: ThZn2SiRh2
Source: Alexandria via LeMat-Bulk
Functional: PBE
Structure: optimized geometry

## Properties
**DOS(E_F)**: 1.079 states/eV per atom
**M_tot**: 0.0 μB/cell
**Formation energy (no corrections)**: -381 meV per atom
**Calculated total energy**: -5.397 eV per atom

a = 4.466 Å, b = 4.466 Å, c = 5.703 Å
α = 90.00°, β = 90.00°, γ = 90.00°
Space group P4/mmm (No. 123)
Asymmetric unit:
Th 0.000 0.000 0.000 [1 per cell]
Zn 0.500 0.500 0.230 [2 per cell]
Si 0.000 0.000 0.500 [1 per cell]
Rh 0.000 0.500 0.500 [2 per cell]

=====

Record 3
Compound: ThZn2SiRh4
Source: Alexandria via LeMat-Bulk
Functional: PBE
Structure: optimized geometry

## Properties
**DOS(E_F)**: 0.333 states/eV per atom
**M_tot**: 0.0 μB/cell
**Formation energy (no corrections)**: -695 meV per atom
**Calculated total energy**: -6.294 eV per atom

a = 4.3462 Å, b = 4.3462 Å, c = 23.3739 Å
α = 90.00°, β = 90.00°, γ = 120.00°
Space group R-3m (No. 166, hexagonal axes)
Asymmetric unit:
Th 0.0000 0.0000 0.0000 [3 per cell]
Zn 0.0000 0.0000 0.2446 [6 per cell]
Si 0.0000 0.0000 0.5000 [3 per cell]
Rh 0.0000 0.0000 0.1326 [6 per cell]
Rh 0.0000 0.0000 0.3987 [6 per cell]

=====

Record 4
Compound: Th4ZnSi3Rh12
Source: Alexandria via LeMat-Bulk
Functional: PBE
Structure: optimized geometry

## Properties
**DOS(E_F)**: 0.717 states/eV per atom
**M_tot**: 0.0 μB/cell
**Formation energy (no corrections)**: -609 meV per atom
**Calculated total energy**: -7.381 eV per atom

a = 9.056 Å, b = 9.056 Å, c = 9.056 Å
α = 90.00°, β = 90.00°, γ = 90.00°
Space group Im-3m (No. 229)
Asymmetric unit:
Th 0.250 0.250 0.250 [8 per cell]
Zn 0.000 0.000 0.000 [2 per cell]
Si 0.000 0.000 0.500 [6 per cell]
Rh 0.000 0.000 0.258 [12 per cell]
Rh 0.000 0.250 0.500 [12 per cell]

=====

Record 5
Compound: Ti2Si2Rh3
Source: Alexandria via LeMat-Bulk
Functional: PBE
Structure: optimized geometry

## Properties
**DOS(E_F)**: 0.659 states/eV per atom
**M_tot**: 0.0 μB/cell
**Formation energy (no corrections)**: -673 meV per atom
**Calculated total energy**: -7.629 eV per atom

a = 7.135 Å, b = 4.111 Å, c = 7.562 Å
α = 90.00°, β = 108.21°, γ = 90.00°
Space group C2/m (No. 12)
Asymmetric unit:
Ti 0.127 0.000 0.382 [4 per cell]
Si 0.113 0.500 0.840 [4 per cell]
Rh 0.000 0.000 0.000 [2 per cell]
Rh 0.244 0.500 0.233 [4 per cell]

=====

Record 6
Compound: Ti12Si6Rh
Source: Alexandria via LeMat-Bulk
Functional: PBE
Structure: optimized geometry

## Properties
**DOS(E_F)**: 1.083 states/eV per atom
**M_tot**: 0.0 μB/cell
**Formation energy (no corrections)**: -299 meV per atom
**Calculated total energy**: -7.385 eV per atom

a = 11.5447 Å, b = 11.5447 Å, c = 8.1337 Å
α = 90.00°, β = 90.00°, γ = 120.00°
Space group R-3 (No. 148, hexagonal axes)
Asymmetric unit:
Ti 0.0461 0.2317 0.3993 [18 per cell]
Ti 0.0548 0.2380 0.7629 [18 per cell]
Si 0.0657 0.2376 0.0855 [18 per cell]
Rh 0.0000 0.0000 0.5000 [3 per cell]